Entry 1:
Compound: KIn2Os
Source: the Alexandria database
Functional: GGA-PBEsol
Structure: relaxed

```
4
Lattice="-3.855 -1.243 2.734 -2.013 -4.426 -0.484 0.495 -3.312 3.559" Properties=species:S:1:pos:R:3 pbc="T T T"
In -4.030 -6.736 4.356
In -1.343 -2.245 1.452
Os -2.686 -4.491 2.904
K 0.000 0.000 0.000
```

Summary:
The value obtained for the excess energy over the best structure of this formula in the dataset is 234 meV per atom. For the density of states at the Fermi level, the calculation gives 3.37 states/eV/cell. Its crystal system is cubic.

***

Entry 2:
Compound: Ta2Te2P
Source: the Alexandria database
Functional: GGA-PBEsol
Structure: relaxed

```
5
Lattice="-3.547 -2.667 0.647 1.208 -2.467 -3.546 4.378 -0.856 4.924" Properties=species:S:1:pos:R:3 pbc="T T T"
Ta 2.484 -2.651 2.690
Ta -0.446 -3.340 -0.665
Te -0.170 -3.045 2.061
Te 2.208 -2.945 -0.036
P 0.000 0.000 0.000
```

Summary:
For the formation energy without anion corrections, the calculation gives 0.7770 eV per atom. For the density of states at the Fermi level, the calculation gives 4.03 states/eV/cell. Its crystal system is tetragonal.

***

Entry 3:
Compound: OsAu2Cl
Source: the Alexandria database
Functional: GGA-PBEsol
Structure: relaxed

```
4
Lattice="2.835 0.000 0.000 -1.418 2.543 0.000 0.000 0.000 9.116" Properties=species:S:1:pos:R:3 pbc="T T T"
Au 0.000 0.000 2.289
Au 0.000 0.000 6.826
Cl 1.418 0.000 4.558
Os 1.418 0.000 9.115
```

Summary:
The value obtained for the excess energy over the best structure of this formula in the dataset is 28 meV per atom. For the formation energy without anion corrections, the calculation gives 0.5975 eV per atom. For the density of states at the Fermi level, the calculation gives 3.54 states/eV/cell. Its crystal system is orthorhombic.

***

Entry 4:
Compound: InBr2Cl
Source: the Alexandria database
Functional: GGA-PBEsol
Structure: relaxed

```
4
Lattice="4.097 0.000 0.000 0.000 4.097 0.000 0.000 0.000 6.285" Properties=species:S:1:pos:R:3 pbc="T T T"
Br 2.048 0.000 0.000
Br 0.000 2.048 0.000
In 0.000 0.000 3.142
Cl 2.048 2.048 3.142
```

Summary:
The value obtained for the excess energy over the best structure of this formula in the dataset is 616 meV per atom. For the formation energy without anion corrections, the calculation gives -0.2895 eV per atom. For the density of states at the Fermi level, the calculation gives 1.94 states/eV/cell. Its crystal system is tetragonal.

***

Entry 5:
Compound: BaIn4
Source: the Alexandria database
Functional: GGA-PBEsol
Structure: relaxed

```
5
Lattice="6.409 0.000 0.000 -2.136 6.043 0.000 -2.136 -3.021 5.233" Properties=species:S:1:pos:R:3 pbc="T T T"
In 3.205 0.000 0.000
In -1.068 -1.511 2.617
In 1.068 1.511 2.617
In -1.068 3.021 0.000
Ba 0.000 0.000 0.000
```

Summary:
For the density of states at the Fermi level, the calculation gives 7.59 states/eV/cell. Its crystal system is cubic.

***

Entry 6:
Compound: Fe2PW
Source: the Alexandria database
Functional: GGA-PBEsol
Structure: relaxed

```
4
Lattice="2.949 0.000 0.000 0.000 3.935 0.000 0.000 0.000 4.118" Properties=species:S:1:pos:R:3 pbc="T T T"
Fe 1.475 1.968 0.000
Fe 0.000 0.000 0.000
W 0.000 1.968 2.059
P 1.475 0.000 2.059
```

Summary:
For the density of states at the Fermi level, the calculation gives 3.14 states/eV/cell. Its crystal system is orthorhombic.

***

Entry 7:
Compound: ReTeW2
Source: the Alexandria database
Functional: GGA-PBEsol
Structure: relaxed

```
4
Lattice="3.142 0.000 0.000 0.000 3.142 0.000 0.000 0.000 6.780" Properties=species:S:1:pos:R:3 pbc="T T T"
W 0.000 0.000 0.108
W 1.571 1.571 1.727
Re 0.000 0.000 3.225
Te 1.571 1.571 5.109
```

Summary:
For the formation energy without anion corrections, the calculation gives 0.4593 eV per atom. For the density of states at the Fermi level, the calculation gives 2.10 states/eV/cell. Its crystal system is tetragonal.

***

Entry 8:
Compound: KMgSc2
Source: the Alexandria database
Functional: GGA-PBEsol
Structure: relaxed

```
4
Lattice="-1.401 2.820 -0.411 -0.389 -2.692 -4.881 -6.337 -2.752 2.721" Properties=species:S:1:pos:R:3 pbc="T T T"
Sc -8.050 -2.588 -2.580
Sc -5.868 -2.973 -0.391
K -4.210 -2.634 -3.727
Mg -2.384 0.287 -2.169
```

Summary:
For the density of states at the Fermi level, the calculation gives 6.07 states/eV/cell. Its crystal system is monoclinic.

***

Entry 9:
Compound: Sr2In4Pt3
Source: the Alexandria database
Functional: GGA-PBEsol
Structure: relaxed

```
36
Lattice="4.470 0.000 0.000 0.000 14.639 0.000 0.000 -7.319 12.678" Properties=species:S:1:pos:R:3 pbc="T T T"
In 2.235 10.225 4.486
In 0.000 3.114 10.363
In 0.000 0.000 0.000
In 0.000 0.098 4.800
In 2.235 2.905 8.192
In 0.000 7.418 7.878
In 2.235 5.642 6.612
In 0.000 4.107 2.485
In 0.000 10.433 2.315
In 2.235 -5.277 9.139
In 2.235 10.553 0.000
In 2.235 -1.678 6.066
In 2.235 6.092 1.580
In 2.235 2.043 3.538
In 2.235 -1.228 11.098
In 0.000 -3.212 10.193
Pt 2.235 1.062 6.139
Pt 0.000 4.751 8.229
Pt 0.000 5.137 0.000
Pt 0.000 1.323 2.291
Pt 2.235 8.791 2.150
Pt 2.235 -2.534 8.689
Pt 0.000 -2.569 4.449
Pt 2.235 4.786 3.989
Pt 0.000 -5.997 10.386
Pt 0.000 11.993 0.000
Pt 2.235 8.381 6.539
Pt 2.235 1.472 10.528
Sr 2.235 5.957 10.318
Sr 0.000 -4.030 6.980
Sr 0.000 8.060 0.000
Sr 0.000 3.290 5.698
Sr 2.235 2.725 0.000
Sr 0.000 7.319 4.226
Sr 0.000 0.000 8.452
Sr 2.235 -1.362 2.360
```

Summary:
For the density of states at the Fermi level, the calculation gives 15.60 states/eV/cell. Its crystal system is hexagonal.

***

Entry 10:
Compound: Ca10Si3S3Cl2O24
Source: the Alexandria database
Functional: GGA-PBEsol
Structure: relaxed

```
42
Lattice="6.697 0.000 0.000 0.000 9.728 0.000 0.000 -4.864 8.425" Properties=species:S:1:pos:R:3 pbc="T T T"
Ca 0.000 1.442 2.054
Ca 5.136 4.864 2.808
Ca 1.509 0.000 5.617
Ca 3.349 3.630 6.342
Ca 3.349 -1.187 2.110
Ca 1.562 4.864 2.808
Ca 0.000 5.922 6.149
Ca 5.189 0.000 5.617
Ca 3.349 -2.443 8.398
Ca 0.000 7.229 0.222
Cl 1.716 0.000 0.000
Cl 4.982 0.000 0.000
O 3.349 -1.315 4.498
O 2.159 1.739 7.732
O 5.369 4.072 5.472
O 3.349 -0.312 7.315
O 2.159 0.963 3.053
O 5.369 2.953 0.791
O 1.329 2.953 0.791
O 2.159 -2.702 6.065
O 1.329 7.567 2.162
O 4.539 1.739 7.732
O 0.000 1.703 5.673
O 3.349 3.112 3.102
O 3.349 5.994 4.179
O 4.539 0.963 3.053
O 0.000 6.184 3.947
O 1.329 4.072 5.472
O 3.349 5.486 1.144
O 0.000 5.191 1.096
O 3.349 1.626 5.038
O 0.000 3.218 3.382
O 5.369 7.567 2.162
O 4.539 -2.702 6.065
O 0.000 -0.900 7.063
O 0.000 -0.803 4.114
Si 0.000 3.772 0.258
Si 0.000 7.619 3.138
Si 0.000 3.202 5.029
S 3.349 1.704 3.535
S 3.349 0.950 8.133
S 3.349 -2.655 5.181
```

Summary:
For the formation energy without anion corrections, the calculation gives -2.6763 eV per atom. For the density of states at the Fermi level, the calculation gives 0.00 states/eV/cell. Its crystal system is hexagonal.

***

Entry 11:
Compound: Y3Ni
Source: the Alexandria database
Functional: GGA-PBEsol
Structure: relaxed

```
4
Lattice="5.221 0.000 0.000 0.000 5.221 0.000 0.000 0.000 5.221" Properties=species:S:1:pos:R:3 pbc="T T T"
Ni 0.000 0.000 0.000
Y 2.610 0.000 0.000
Y 0.000 0.000 2.610
Y 0.000 2.610 0.000
```

Summary:
For the density of states at the Fermi level, the calculation gives 4.08 states/eV/cell. Its crystal system is cubic.

***

Entry 12:
Compound: MgZrZn2
Source: the Alexandria database
Functional: GGA-PBEsol
Structure: relaxed

```
4
Lattice="3.047 0.000 0.000 0.000 4.266 0.000 -1.523 0.000 5.430" Properties=species:S:1:pos:R:3 pbc="T T T"
Mg 0.000 2.133 4.480
Zn 1.523 2.133 2.016
Zn 1.523 0.000 3.467
Zr 0.000 0.000 0.912
```

Summary:
For the density of states at the Fermi level, the calculation gives 2.24 states/eV/cell. Its crystal system is orthorhombic.

***

Entry 13:
Compound: Li3La
Source: the Alexandria database
Functional: GGA-PBEsol
Structure: relaxed

```
4
Lattice="-2.135 1.500 1.993 -0.720 -0.393 -3.179 -4.589 -9.462 2.209" Properties=species:S:1:pos:R:3 pbc="T T T"
Li -2.440 -2.336 -0.854
Li -2.294 -4.731 1.104
Li -4.532 -6.649 0.153
La 0.000 0.000 0.000
```

Summary:
The value obtained for the excess energy over the best structure of this formula in the dataset is 7 meV per atom. For the density of states at the Fermi level, the calculation gives 3.35 states/eV/cell. Its crystal system is hexagonal.

***

Entry 14:
Compound: Rb2ReSnN
Source: the Alexandria database
Functional: GGA-PBEsol
Structure: relaxed

```
5
Lattice="3.794 0.000 0.000 0.000 6.104 0.000 0.000 0.000 6.104" Properties=species:S:1:pos:R:3 pbc="T T T"
Rb 0.000 3.052 0.000
Rb 0.000 0.000 3.052
N 0.000 0.000 0.000
Sn 1.897 3.052 3.052
Re 1.897 0.000 0.000
```

Summary:
For the formation energy without anion corrections, the calculation gives 0.6012 eV per atom. For the density of states at the Fermi level, the calculation gives 4.23 states/eV/cell. Its crystal system is tetragonal.

***

Entry 15:
Compound: MnCdAu3
Source: the Alexandria database
Functional: GGA-PBEsol
Structure: relaxed

```
5
Lattice="4.814 0.000 0.000 0.000 4.814 0.000 0.000 0.000 4.814" Properties=species:S:1:pos:R:3 pbc="T T T"
Au 0.000 0.000 2.407
Au 0.000 2.407 0.000
Au 2.407 0.000 0.000
Mn 0.000 0.000 0.000
Cd 2.407 2.407 2.407
```

Summary:
For the density of states at the Fermi level, the calculation gives 2.58 states/eV/cell. Its crystal system is cubic.

***

Entry 16:
Compound: LiScCu2
Source: the Alexandria database
Functional: GGA-PBEsol
Structure: relaxed

```
4
Lattice="2.871 0.000 0.000 1.436 2.487 0.000 1.436 0.829 8.501" Properties=species:S:1:pos:R:3 pbc="T T T"
Cu 4.307 2.487 6.321
Cu 1.436 0.829 2.181
Li 2.871 1.658 4.251
Sc 0.000 0.000 0.000
```

Summary:
For the density of states at the Fermi level, the calculation gives 2.16 states/eV/cell. Its crystal system is trigonal.

***

Entry 17:
Compound: Li3SbP2O8
Source: the Alexandria database
Functional: GGA-PBEsol
Structure: relaxed

```
14
Lattice="5.105 0.009 0.028 1.996 4.699 0.028 0.181 0.120 6.221" Properties=species:S:1:pos:R:3 pbc="T T T"
Li 0.091 0.060 3.110
Li 4.847 3.213 4.411
Li 2.436 1.615 1.866
O 2.105 1.395 6.171
O 4.519 1.511 1.654
O 1.770 1.174 3.664
O 2.763 3.317 4.623
O 5.512 3.654 2.614
O 5.177 3.432 0.106
O 3.151 3.574 1.654
O 4.131 1.254 4.623
P 2.648 1.755 4.759
P 4.635 3.072 1.518
Sb 0.000 0.000 0.000
```

Summary:
The value obtained for the excess energy over the best structure of this formula in the dataset is 20 meV per atom. For the formation energy without anion corrections, the calculation gives -2.1331 eV per atom. For the density of states at the Fermi level, the calculation gives 0.00 states/eV/cell. Its crystal system is monoclinic.

***

Entry 18:
Compound: Fe2NiSe4
Source: the Alexandria database
Functional: GGA-PBEsol
Structure: relaxed

```
7
Lattice="3.470 0.000 0.000 0.000 5.834 0.015 -1.735 -2.781 5.338" Properties=species:S:1:pos:R:3 pbc="T T T"
Se 0.000 2.041 1.200
Se 1.735 4.954 1.536
Se 0.000 -1.900 3.817
Se 1.735 1.013 4.153
Fe 0.000 0.353 2.764
Fe 1.735 2.701 2.589
Ni 0.000 0.000 0.000
```

Summary:
For the formation energy without anion corrections, the calculation gives -0.3118 eV per atom. For the density of states at the Fermi level, the calculation gives 5.76 states/eV/cell. Its crystal system is monoclinic.

***

Entry 19:
Compound: Co3SnMo
Source: the Alexandria database
Functional: GGA-PBEsol
Structure: relaxed

```
5
Lattice="-3.661 1.993 1.537 -2.309 -1.579 -3.452 -1.002 -3.644 2.337" Properties=species:S:1:pos:R:3 pbc="T T T"
Co -1.831 0.996 0.769
Co -0.501 -1.822 1.168
Co -1.154 -0.789 -1.726
Mo -3.486 -1.615 0.211
Sn 0.000 0.000 0.000
```

Summary:
For the density of states at the Fermi level, the calculation gives 3.89 states/eV/cell. Its crystal system is cubic.

***

Entry 20:
Compound: TaTlP2S
Source: the Alexandria database
Functional: GGA-PBEsol
Structure: relaxed

```
5
Lattice="4.748 0.000 0.000 0.000 4.854 0.000 0.000 0.000 4.854" Properties=species:S:1:pos:R:3 pbc="T T T"
P 0.000 0.000 2.427
P 0.000 2.427 0.000
Ta 0.000 0.000 0.000
Tl 2.374 2.427 2.427
S 2.374 0.000 0.000
```

Summary:
The value obtained for the excess energy over the best structure of this formula in the dataset is 0 meV per atom. For the formation energy without anion corrections, the calculation gives -0.0243 eV per atom. For the density of states at the Fermi level, the calculation gives 2.97 states/eV/cell. Its crystal system is tetragonal.

***

no.,E (eV per atom)
1,-4.143
2,-6.812
3,-4.920
4,-2.472
5,-2.262
6,-9.410
7,-10.659
8,-3.586
9,-4.746
10,-7.003
11,-6.362
12,-3.655
13,-2.723
14,-5.033
15,-3.819
16,-4.149
17,-6.707
18,-5.953
19,-5.976
20,-6.254